Record 1
Compound: KAgPtSeS2
Source: the Open Quantum Materials Database
Functional: PBE-GGA
Structure: optimized geometry

Results
- raw total energy (eV per atom) = -3.984

abc: 7.8524 7.8524 10.4423
angles: 90.00 90.00 152.93
Closest atoms and distances in Å follow each position.
Positions (direct):
S: 0.8972 0.1028 0.5189  1 Ag 2.42, 2 Pt 2.43
Ag: 0.0884 0.9116 0.2500  2 S 2.42
Ag: 0.9116 0.0884 0.7500  2 S 2.42
S: 0.1028 0.8972 0.0189  1 Ag 2.42, 2 Pt 2.43
K: 0.2274 0.7726 0.7500  2 Se 3.29, 2 Ag 3.36, 2 S 3.39, 2 K 3.68
Se: 0.5490 0.4510 0.7500  2 Pt 2.72, 2 Ag 2.79
Pt: 0.5000 0.5000 0.5000  4 S 2.43, 2 Se 2.72
S: 0.1028 0.8972 0.4811  1 Ag 2.42, 2 Pt 2.43
S: 0.8972 0.1028 0.9811  1 Ag 2.42, 2 Pt 2.43
Pt: 0.5000 0.5000 0.0000  4 S 2.43, 2 Se 2.72
K: 0.7726 0.2274 0.2500  2 Se 3.29, 2 Ag 3.36, 2 S 3.39, 2 K 3.68
Se: 0.4510 0.5490 0.2500  2 Pt 2.72, 2 Ag 2.79

---

Record 2
Compound: PdN2
Source: the Open Quantum Materials Database
Functional: PBE-GGA
Structure: optimized geometry

Results
- raw total energy (eV per atom) = -6.800

abc: 3.8586 4.9559 3.2420
angles: 90.00 90.00 90.00
Closest atoms and distances in Å follow each position.
Positions (direct):
Pd: 0.0000 0.0000 0.0000  6 N 2.16-2.20
N: 0.8727 0.5766 0.0000  1 N 1.24
N: 0.1273 0.4234 0.0000  1 N 1.24
N: 0.3727 0.9234 0.5000  1 N 1.24
N: 0.6273 0.0766 0.5000  1 N 1.24
Pd: 0.5000 0.5000 0.5000  6 N 2.16-2.20

---

Record 3
Compound: Er4Lu3Te2Pd2
Source: the Open Quantum Materials Database
Functional: PBE-GGA
Structure: optimized geometry

Results
- energy relative to the lowest polymorph listed for this composition (eV/f.u.) = 0.123
- raw total energy (eV per atom) = -5.239

abc: 9.3188 9.3188 9.3188
angles: 155.87 67.45 118.09
Closest atoms and distances in Å follow each position.
Positions (direct):
Pd: 0.1947 0.9293 0.2653  4 Er 2.83-2.87, 2 Lu 2.86
Lu: 0.4998 0.9998 0.5000  3 Te 3.21-3.22
Er: 0.0481 0.4183 0.6298  2 Pd 2.87, 3 Te 3.09-3.16
Lu: 0.1252 0.2682 0.8570  2 Pd 2.86, 2 Te 3.12
Er: 0.4437 0.6264 0.8172  2 Pd 2.83, 1 Te 3.13
Te: 0.1635 0.6635 0.5000  2 Er 3.09, 5 Lu 3.12-3.22
Pd: 0.6640 0.9293 0.7347  4 Er 2.83-2.87, 2 Lu 2.86
Er: 0.7885 0.4183 0.3702  2 Pd 2.87, 3 Te 3.09-3.16
Er: 0.8092 0.6264 0.1828  2 Pd 2.83, 1 Te 3.13
Lu: 0.4112 0.2682 0.1430  2 Pd 2.86, 2 Te 3.12
Te: 0.7655 0.7655 0.0000  6 Er 3.13-3.16, 2 Lu 3.21

---

Record 4
Compound: RbNiSbS3
Source: the Open Quantum Materials Database
Functional: PBE-GGA
Structure: optimized geometry

Results
- raw total energy (eV per atom) = -4.314

abc: 7.3224 7.3224 10.6412
angles: 90.00 90.00 148.62
Closest atoms and distances in Å follow each position.
Positions (direct):
Sb: 0.0000 0.0000 0.0000  6 S 2.68-2.71
S: 0.6248 0.3752 0.4444  1 Ni 2.28
S: 0.3752 0.6248 0.5556  1 Ni 2.28
S: 0.9751 0.0249 0.2500  2 Ni 2.29
Sb: 0.0000 0.0000 0.5000  6 S 2.68-2.71
S: 0.0249 0.9751 0.7500  2 Ni 2.29
S: 0.3752 0.6248 0.9444  1 Ni 2.28
Rb: 0.2705 0.7295 0.2500  8 S 3.50-3.57, 2 Ni 3.61
Rb: 0.7295 0.2705 0.7500  8 S 3.50-3.57, 2 Ni 3.61
Ni: 0.5564 0.4436 0.2500  4 S 2.28-2.29
Ni: 0.4436 0.5564 0.7500  4 S 2.28-2.29
S: 0.6248 0.3752 0.0556  1 Ni 2.28

---

Record 5
Compound: CuGeSb2
Source: the Open Quantum Materials Database
Functional: PBE-GGA
Structure: optimized geometry

Results
- raw total energy (eV per atom) = -3.725

abc: 4.9905 4.9905 4.9905
angles: 60.00 60.00 60.00
Closest atoms and distances in Å follow each position.
Positions (direct):
Sb: 0.0000 0.0000 0.0000  4 Sb 3.06, 4 Cu 3.06
Ge: 0.5000 0.5000 0.5000  4 Cu 3.06, 4 Sb 3.06
Cu: 0.2500 0.2500 0.2500  4 Ge 3.06, 4 Sb 3.06
Sb: 0.7500 0.7500 0.7500  4 Sb 3.06, 4 Ge 3.06

---

Record 6
Compound: SrPrO3
Source: the Open Quantum Materials Database
Functional: PBE-GGA
Structure: optimized geometry

Results
- raw total energy (eV per atom) = -6.844

abc: 6.1102 6.3416 8.7712
angles: 90.00 90.00 90.00
Closest atoms and distances in Å follow each position.
Positions (direct):
O: 0.8698 0.5651 0.7500  2 Pr 2.37, 2 Sr 2.49-2.59
O: 0.3699 0.9349 0.2500  2 Pr 2.37, 2 Sr 2.49-2.59
O: 0.1301 0.4349 0.2500  2 Pr 2.37, 2 Sr 2.49-2.59
O: 0.8000 0.7980 0.4296  2 Pr 2.32-2.33, 1 Sr 2.51
Sr: 0.5197 0.5526 0.2500  4 O 2.49-2.59
O: 0.3000 0.7020 0.5704  2 Pr 2.32-2.33, 1 Sr 2.51
Sr: 0.0197 0.9474 0.7500  4 O 2.49-2.59
O: 0.3000 0.7020 0.9296  2 Pr 2.32-2.33, 1 Sr 2.51
Sr: 0.9803 0.0526 0.2500  4 O 2.49-2.59
Pr: 0.0000 0.5000 0.0000  6 O 2.32-2.37
O: 0.7000 0.2980 0.0704  2 Pr 2.32-2.33, 1 Sr 2.51
Pr: 0.0000 0.5000 0.5000  6 O 2.32-2.37
Sr: 0.4803 0.4474 0.7500  4 O 2.49-2.59
O: 0.2000 0.2020 0.5704  2 Pr 2.32-2.33, 1 Sr 2.51
O: 0.8000 0.7980 0.0704  2 Pr 2.32-2.33, 1 Sr 2.51
O: 0.2000 0.2020 0.9296  2 Pr 2.32-2.33, 1 Sr 2.51
O: 0.6302 0.0651 0.7500  2 Pr 2.37, 2 Sr 2.49-2.59
Pr: 0.5000 0.0000 0.0000  6 O 2.32-2.37
O: 0.7000 0.2980 0.4296  2 Pr 2.32-2.33, 1 Sr 2.51
Pr: 0.5000 0.0000 0.5000  6 O 2.32-2.37